Density functional theory data (meta-GGA SCAN) for a PBEsol-optimized structure of TlP2SeO. Values from VASP.

```
&SYSTEM
  ibrav = 0, nat = 5, ntyp = 4
/
ATOMIC_SPECIES
P 30.97 P.upf
Tl 204.38 Tl.upf
O 16.00 O.upf
Se 78.96 Se.upf
ATOMIC_POSITIONS crystal
P 0.0000 0.0000 0.5000
P 0.0000 0.5000 0.0000
Tl 0.5000 0.5000 0.5000
O 0.5000 0.0000 0.0000
Se 0.0000 0.0000 0.0000
CELL_PARAMETERS angstrom
3.7398 0.0000 0.0000
0.0000 4.9148 0.0000
0.0000 0.0000 4.9148
```

Computed properties:
N(E_F)   2.74 states/eV/f.u.
V   90 Å³ per cell
E_form (uncorrected)   0.50 eV per atom
Crystal system   tetragonal
Total magnetic moment   0.0 μB per cell
Polymorph energy (0 for the lowest one)   0 meV per atom